The following is a DFT calculation (GGA+U) of a relaxed structure of Ba2Fe3F10.

## Properties
- N(E_F) (states/eV/atom) = 0.00
- ρ (g/cm³) = 4.8
- raw total energy (eV/atom) = -5.54

a b c (Å): 19.1952 6.1920 8.0068
angles (deg): 90.00 112.35 90.00
Last column: nearest neighbours and their distance in Å.
Space group C2/m (No. 12)
One atom of each set of equivalent atoms:
Ba1 0.1161 0.0000 0.2204  10 F 2.77-3.10
Ba2 0.2161 0.0000 0.8175  6 F 2.65-2.82
Fe1 0.0000 0.2408 0.5000  6 F 2.08-2.13
Fe2 0.0748 0.5000 0.9608  6 F 2.03-2.14
Fe3 0.1772 0.5000 0.5183  6 F 1.98-2.13
F1 0.0000 0.2663 0.0000  2 Fe 2.14
F2 0.0175 0.0000 0.6920  2 Fe 2.08
F3 0.0231 0.5000 0.6873  3 Fe 2.03-2.13
F4 0.1134 0.2332 0.5271  2 Fe 2.07-2.10
F5 0.1306 0.5000 0.2439  2 Fe 2.03-2.11
F6 0.1536 0.2596 0.9848  1 Fe 2.08
F7 0.2358 0.5000 0.7817  1 Fe 1.98
F8 0.2500 0.2500 0.5000  2 Fe 2.13